Here is crystalline LuB2Ru at its relaxed geometry from Alexandria via LeMat-Bulk. Energies are from GGA-PBEsol.

abc: 5.2082 5.7512 6.2179
angles: 90.00 90.00 90.00
With the nearest neighbours (Å) after each atom.
Positions (direct):
Ru 0.7500 0.8192 0.3186  6 B 2.21-2.22
Lu 0.2500 0.5096 0.3346  6 B 2.55-2.64
B 0.9180 0.6365 0.0369  2 B 1.75-1.84
B 0.9180 0.1365 0.4631  2 B 1.75-1.84
B 0.4180 0.3635 0.9631  2 B 1.75-1.84
Lu 0.2500 0.0096 0.1654  6 B 2.55-2.64
B 0.5820 0.6365 0.0369  2 B 1.75-1.84
Lu 0.7500 0.9904 0.8346  6 B 2.55-2.64
B 0.4180 0.8635 0.5369  2 B 1.75-1.84
Ru 0.2500 0.1808 0.6814  6 B 2.21-2.22
Ru 0.2500 0.6808 0.8186  6 B 2.21-2.22
B 0.0820 0.3635 0.9631  2 B 1.75-1.84
Lu 0.7500 0.4904 0.6654  6 B 2.55-2.64
B 0.0820 0.8635 0.5369  2 B 1.75-1.84
B 0.5820 0.1365 0.4631  2 B 1.75-1.84
Ru 0.7500 0.3192 0.1814  6 B 2.21-2.22

Calculated values
Energy of formation in eV/atom: -0.718
Raw total energy in eV/atom: -7.99
Symmetry: No. 62